# Ce6In2CoOs (GGA-PBE, relaxed)
data_Ce6In2CoOs
_chemical_formula_sum 'Ce24 In8 Co4 Os4'
_symmetry_space_group_name_H-M 'F m m 2'
_symmetry_Int_Tables_number 42
_symmetry_space_group_name_Hall 'F 2 -2'
_cell_length_a 10.474
_cell_length_b 10.491
_cell_length_c 10.598
_cell_angle_alpha 90.00
_cell_angle_beta 90.00
_cell_angle_gamma 90.00
loop_
_atom_site_label
_atom_site_type_symbol
_atom_site_fract_x
_atom_site_fract_y
_atom_site_fract_z
_atom_site_occupancy
Ce1 Ce 0.000 0.000 0.000 1
Ce2 Ce 0.000 0.000 0.493 1
Ce3 Ce 0.000 0.243 0.247 1
Ce4 Ce 0.243 0.000 0.247 1
In1 In 0.250 0.250 0.497 1
Co1 Co 0.000 0.000 0.247 1
Os1 Os 0.000 0.000 0.746 1
# ΔE_f ... -157.9 meV per atom
# Uncorrected energy ... -244.0 eV for the cell shown